# YTc, relaxed, DFT PBE
data_YTc
_chemical_formula_sum 'Y2 Tc2'
_cell_length_a 3.5569
_cell_length_b 3.5569
_cell_length_c 7.9433
_cell_angle_alpha 90.00
_cell_angle_beta 90.00
_cell_angle_gamma 90.00
_symmetry_space_group_name_H-M 'P 4/n m m'
_symmetry_Int_Tables_number 129
loop_
_symmetry_equiv_pos_as_xyz
'x,y,z'
'-x,-y,-z'
'-y+1/2,x,z'
'y+1/2,-x,-z'
'-x+1/2,-y+1/2,z'
'x+1/2,y+1/2,-z'
'y,-x+1/2,z'
'-y,x+1/2,-z'
'x+1/2,-y,-z'
'-x+1/2,y,z'
'-y,-x,-z'
'y,x,z'
'-x,y+1/2,-z'
'x,-y+1/2,z'
'y+1/2,x+1/2,-z'
'-y+1/2,-x+1/2,z'
loop_
_atom_site_label
_atom_site_fract_x
_atom_site_fract_y
_atom_site_fract_z
Y1 0.2500 0.2500 0.1856
Tc1 0.2500 0.7500 0.5000
# E: -8.11 eV per atom
# Crystal system: tetragonal
# DFT formation energy: 0.60 eV per formula unit